(1)
The following is a DFT calculation (meta-GGA SCAN) of YZn2Pb at its PBEsol-relaxed geometry.

a = 4.353 Å, b = 4.353 Å, c = 4.361 Å
α = 90.00°, β = 90.00°, γ = 90.00°
Fractional positions:
Y (0.000, 0.000, 0.000)
Zn (0.000, 0.500, 0.500)
Zn (0.500, 0.000, 0.500)
Pb (0.500, 0.500, 0.000)

Fermi-level density of states   1.19 states/eV/cell
Calculated formation energy   -0.379 eV/atom
ρ   8581 kg/m3
Total energy   -132.170 eV for the cell shown
Spin magnetization   0.0 μB per formula unit

(2)
The following is a DFT calculation (meta-GGA SCAN) of Y2ZrPb at its PBEsol-relaxed geometry.

a = 5.701 Å, b = 3.325 Å, c = 5.760 Å
α = 90.00°, β = 109.03°, γ = 90.00°
Fractional positions:
Y (0.000, 0.000, 0.000)
Y (0.000, 0.500, 0.500)
Zr (0.500, 0.000, 0.500)
Pb (0.500, 0.500, 0.000)

Fermi-level density of states   4.55 states/eV/cell
Calculated formation energy   -0.138 eV/atom
ρ   7661 kg/m3
Total energy   -162.717 eV for the cell shown
Spin magnetization   0.0 μB per formula unit

(3)
The following is a DFT calculation (meta-GGA SCAN) of YZr3Pb at its PBEsol-relaxed geometry.

a = 5.099 Å, b = 5.099 Å, c = 5.099 Å
α = 90.00°, β = 90.00°, γ = 90.00°
Fractional positions:
Y (0.000, 0.000, 0.000)
Zr (0.000, 0.000, 0.500)
Zr (0.000, 0.500, 0.000)
Zr (0.500, 0.000, 0.000)
Pb (0.500, 0.500, 0.500)

Fermi-level density of states   5.52 states/eV/cell
Calculated formation energy   1.233 eV/atom
ρ   7136 kg/m3
Total energy   -189.554 eV for the cell shown
Spin magnetization   1.7 μB per formula unit

(4)
The following is a DFT calculation (meta-GGA SCAN) of YZr2Pb at its PBEsol-relaxed geometry.

a = 4.516 Å, b = 4.516 Å, c = 4.594 Å
α = 90.00°, β = 90.00°, γ = 90.00°
Fractional positions:
Y (0.000, 0.000, 0.000)
Zr (0.000, 0.500, 0.500)
Zr (0.500, 0.000, 0.500)
Pb (0.500, 0.500, 0.000)

Fermi-level density of states   3.94 states/eV/cell
Calculated formation energy   -0.272 eV/atom
ρ   8480 kg/m3
Total energy   -166.108 eV for the cell shown
Spin magnetization   0.0 μB per formula unit

(5)
The following is a DFT calculation (meta-GGA SCAN) of YZr2Pb at its PBEsol-relaxed geometry.

a = 6.404 Å, b = 9.172 Å, c = 3.242 Å
α = 90.00°, β = 90.00°, γ = 90.00°
Fractional positions:
Y (0.000, 0.000, 0.000)
Y (0.500, 0.500, 0.000)
Zr (0.250, 0.250, 0.500)
Zr (0.250, 0.750, 0.500)
Zr (0.750, 0.250, 0.500)
Zr (0.750, 0.750, 0.500)
Pb (0.000, 0.500, 0.000)
Pb (0.500, 0.000, 0.000)

Fermi-level density of states   7.96 states/eV/cell
Calculated formation energy   -0.099 eV/atom
ρ   8344 kg/m3
Total energy   -330.838 eV for the cell shown
Spin magnetization   0.0 μB per formula unit

(6)
The following is a DFT calculation (meta-GGA SCAN) of ZnPb at its PBEsol-relaxed geometry.

a = 7.218 Å, b = 7.218 Å, c = 7.218 Å
α = 90.00°, β = 90.00°, γ = 90.00°
Fractional positions:
Zn (0.125, 0.125, 0.125)
Zn (0.125, 0.625, 0.625)
Zn (0.375, 0.375, 0.875)
Zn (0.375, 0.875, 0.375)
Zn (0.625, 0.125, 0.625)
Zn (0.625, 0.625, 0.125)
Zn (0.875, 0.375, 0.375)
Zn (0.875, 0.875, 0.875)
Pb (0.125, 0.125, 0.625)
Pb (0.125, 0.625, 0.125)
Pb (0.375, 0.375, 0.375)
Pb (0.375, 0.875, 0.875)
Pb (0.625, 0.125, 0.125)
Pb (0.625, 0.625, 0.625)
Pb (0.875, 0.375, 0.875)
Pb (0.875, 0.875, 0.375)

Fermi-level density of states   6.47 states/eV/cell
Calculated formation energy   0.322 eV/atom
ρ   9631 kg/m3
Total energy   -709.212 eV for the cell shown
Spin magnetization   0.0 μB per formula unit

(7)
The following is a DFT calculation (meta-GGA SCAN) of Zn3Pb at its PBEsol-relaxed geometry.

a = 4.200 Å, b = 5.269 Å, c = 6.758 Å
α = 90.00°, β = 90.00°, γ = 90.00°
Fractional positions:
Zn (0.250, 0.004, 0.125)
Zn (0.250, 0.250, 0.782)
Zn (0.250, 0.496, 0.125)
Zn (0.750, 0.504, 0.875)
Zn (0.750, 0.750, 0.218)
Zn (0.750, 0.996, 0.875)
Pb (0.250, 0.750, 0.581)
Pb (0.750, 0.250, 0.419)

Fermi-level density of states   2.71 states/eV/cell
Calculated formation energy   0.105 eV/atom
ρ   8959 kg/m3
Total energy   -231.816 eV for the cell shown
Spin magnetization   0.0 μB per formula unit

(8)
The following is a DFT calculation (meta-GGA SCAN) of ZnPb5 at its PBEsol-relaxed geometry.

a = 13.572 Å, b = 3.524 Å, c = 7.084 Å
α = 90.00°, β = 103.34°, γ = 90.00°
Fractional positions:
Zn (0.000, 0.000, 0.000)
Zn (0.500, 0.500, 0.000)
Pb (0.000, 0.000, 0.498)
Pb (0.150, 0.500, 0.850)
Pb (0.167, 0.500, 0.319)
Pb (0.333, 0.000, 0.680)
Pb (0.349, 0.000, 0.147)
Pb (0.500, 0.500, 0.498)
Pb (0.650, 0.000, 0.850)
Pb (0.667, 0.000, 0.319)
Pb (0.833, 0.500, 0.680)
Pb (0.849, 0.500, 0.147)

Fermi-level density of states   5.58 states/eV/cell
Calculated formation energy   0.104 eV/atom
ρ   11095 kg/m3
Total energy   -783.588 eV for the cell shown
Spin magnetization   0.0 μB per formula unit

(9)
The following is a DFT calculation (meta-GGA SCAN) of ZnPb at its PBEsol-relaxed geometry.

a = 3.422 Å, b = 3.422 Å, c = 7.675 Å
α = 90.00°, β = 90.00°, γ = 90.00°
Fractional positions:
Zn (0.250, 0.250, 0.075)
Zn (0.750, 0.750, 0.925)
Pb (0.250, 0.250, 0.679)
Pb (0.750, 0.750, 0.321)

Fermi-level density of states   0.91 states/eV/cell
Calculated formation energy   0.137 eV/atom
ρ   10073 kg/m3
Total energy   -178.043 eV for the cell shown
Spin magnetization   0.0 μB per formula unit

(10)
The following is a DFT calculation (meta-GGA SCAN) of ZnPb7 at its PBEsol-relaxed geometry.

a = 6.847 Å, b = 6.847 Å, c = 6.847 Å
α = 60.00°, β = 60.00°, γ = 60.00°
Fractional positions:
Zn (0.000, 0.000, 0.000)
Pb (0.000, 0.000, 0.500)
Pb (0.000, 0.500, 0.000)
Pb (0.000, 0.500, 0.500)
Pb (0.500, 0.000, 0.000)
Pb (0.500, 0.000, 0.500)
Pb (0.500, 0.500, 0.000)
Pb (0.500, 0.500, 0.500)

Fermi-level density of states   3.92 states/eV/cell
Calculated formation energy   0.097 eV/atom
ρ   11087 kg/m3
Total energy   -543.208 eV for the cell shown
Spin magnetization   0.0 μB per formula unit

(11)
The following is a DFT calculation (meta-GGA SCAN) of ZnPb at its PBEsol-relaxed geometry.

a = 6.200 Å, b = 6.200 Å, c = 6.200 Å
α = 90.00°, β = 90.00°, γ = 90.00°
Fractional positions:
Zn (0.000, 0.000, 0.000)
Zn (0.000, 0.500, 0.500)
Zn (0.500, 0.000, 0.500)
Zn (0.500, 0.500, 0.000)
Pb (0.250, 0.250, 0.750)
Pb (0.250, 0.750, 0.250)
Pb (0.750, 0.250, 0.250)
Pb (0.750, 0.750, 0.750)

Fermi-level density of states   5.90 states/eV/cell
Calculated formation energy   0.404 eV/atom
ρ   7597 kg/m3
Total energy   -353.950 eV for the cell shown
Spin magnetization   0.0 μB per formula unit

(12)
The following is a DFT calculation (meta-GGA SCAN) of ZnPb2 at its PBEsol-relaxed geometry.

a = 3.454 Å, b = 3.454 Å, c = 12.502 Å
α = 90.00°, β = 90.00°, γ = 90.00°
Fractional positions:
Zn (0.000, 0.000, 0.000)
Zn (0.500, 0.500, 0.500)
Pb (0.000, 0.000, 0.354)
Pb (0.000, 0.000, 0.646)
Pb (0.500, 0.500, 0.146)
Pb (0.500, 0.500, 0.854)

Fermi-level density of states   2.24 states/eV/cell
Calculated formation energy   0.149 eV/atom
ρ   10683 kg/m3
Total energy   -329.261 eV for the cell shown
Spin magnetization   0.0 μB per formula unit